1.
Entry from the Alexandria database: a relaxed CeAlNiRu crystal (GGA-PBE).

a b c (Å): 6.4648 6.4648 6.4648
angles (deg): 90.00 90.00 90.00
Sites, in units of the cell vectors:
Ce: 0.0000 0.0000 0.0000
Ce: 0.0000 0.5000 0.5000
Ce: 0.5000 0.0000 0.5000
Ce: 0.5000 0.5000 0.0000
Al: 0.0000 0.0000 0.5000
Al: 0.0000 0.5000 0.0000
Al: 0.5000 0.0000 0.0000
Al: 0.5000 0.5000 0.5000
Ni: 0.2500 0.2500 0.7500
Ni: 0.2500 0.7500 0.2500
Ni: 0.7500 0.2500 0.2500
Ni: 0.7500 0.7500 0.7500
Ru: 0.2500 0.2500 0.2500
Ru: 0.2500 0.7500 0.7500
Ru: 0.7500 0.2500 0.7500
Ru: 0.7500 0.7500 0.2500

Output
Uncorrected energy in eV per atom: -6.5591
Energy relative to the elements in kcal/mol of atoms: -8.66
Mass density in g/cm3: 8.035

***

2.
Entry from the Alexandria database: a relaxed CeAlSi2Ni2 crystal (GGA-PBE).

a b c (Å): 3.9981 3.9981 6.7547
angles (deg): 90.00 90.00 120.00
Sites, in units of the cell vectors:
Ce: 0.0000 0.0000 0.0000
Al: 0.0000 0.0000 0.5000
Si: 0.3333 0.6667 0.7213
Si: 0.6667 0.3333 0.2787
Ni: 0.3333 0.6667 0.3553
Ni: 0.6667 0.3333 0.6447

Output
Uncorrected energy in eV per atom: -6.0626
Energy relative to the elements, uncorrected in eV per atom: -0.715
Mass density in g/cm3: 6.049

***

3.
Entry from the Alexandria database: a relaxed CeAlSi2Ni5 crystal (GGA-PBE).

a b c (Å): 3.7399 3.7399 10.0186
angles (deg): 90.00 90.00 90.00
Sites, in units of the cell vectors:
Ce: 0.0000 0.0000 0.0000
Al: 0.0000 0.0000 0.5000
Si: 0.5000 0.5000 0.2219
Si: 0.5000 0.5000 0.7781
Ni: 0.0000 0.5000 0.3481
Ni: 0.0000 0.5000 0.6519
Ni: 0.5000 0.0000 0.3481
Ni: 0.5000 0.0000 0.6519
Ni: 0.5000 0.5000 0.0000

Output
Uncorrected energy in eV per atom: -5.8274
Energy relative to the elements, uncorrected in eV per atom: -0.335
Mass density in g/cm3: 6.123

***

4.
Entry from the Alexandria database: a relaxed CeAl2SiNi4 crystal (GGA-PBE).

a b c (Å): 8.6484 8.6484 8.6484
angles (deg): 26.86 26.86 26.86
Sites, in units of the cell vectors:
Ce: 0.0000 0.0000 0.0000
Al: 0.2388 0.2388 0.2388
Al: 0.7612 0.7612 0.7612
Si: 0.5000 0.5000 0.5000
Ni: 0.1370 0.1370 0.1370
Ni: 0.4072 0.4072 0.4072
Ni: 0.5928 0.5928 0.5928
Ni: 0.8630 0.8630 0.8630

Output
Uncorrected energy in eV per atom: -5.7798
Energy relative to the elements, uncorrected in eV per atom: -0.534
Mass density in g/cm3: 6.514

***

5.
Entry from the Alexandria database: a relaxed CeAlSi2Ni4 crystal (GGA-PBE).

a b c (Å): 8.5186 8.5186 8.5186
angles (deg): 26.95 26.95 26.95
Sites, in units of the cell vectors:
Ce: 0.0000 0.0000 0.0000
Al: 0.5000 0.5000 0.5000
Si: 0.2403 0.2403 0.2403
Si: 0.7597 0.7597 0.7597
Ni: 0.1337 0.1337 0.1337
Ni: 0.4051 0.4051 0.4051
Ni: 0.5949 0.5949 0.5949
Ni: 0.8663 0.8663 0.8663

Output
Uncorrected energy in eV per atom: -6.0439
Energy relative to the elements, uncorrected in eV per atom: -0.588
Mass density in g/cm3: 6.793

***

6.
Entry from the Alexandria database: a relaxed CeYAlNi crystal (GGA-PBE).

a b c (Å): 7.1055 7.1055 7.1055
angles (deg): 90.00 90.00 90.00
Sites, in units of the cell vectors:
Ce: 0.0000 0.0000 0.0000
Ce: 0.0000 0.5000 0.5000
Ce: 0.5000 0.0000 0.5000
Ce: 0.5000 0.5000 0.0000
Y: 0.0000 0.0000 0.5000
Y: 0.0000 0.5000 0.0000
Y: 0.5000 0.0000 0.0000
Y: 0.5000 0.5000 0.5000
Al: 0.2500 0.2500 0.2500
Al: 0.2500 0.7500 0.7500
Al: 0.7500 0.2500 0.7500
Al: 0.7500 0.7500 0.2500
Ni: 0.2500 0.2500 0.7500
Ni: 0.2500 0.7500 0.2500
Ni: 0.7500 0.2500 0.2500
Ni: 0.7500 0.7500 0.7500

Output
Uncorrected energy in eV per atom: -5.6975
Energy relative to the elements in kcal/mol of atoms: -5.00
Mass density in g/cm3: 5.827

***

7.
Entry from the Alexandria database: a relaxed CeAlZnNi crystal (GGA-PBE).

a b c (Å): 6.5647 6.5647 6.5647
angles (deg): 90.00 90.00 90.00
Sites, in units of the cell vectors:
Ce: 0.0000 0.0000 0.0000
Ce: 0.0000 0.5000 0.5000
Ce: 0.5000 0.0000 0.5000
Ce: 0.5000 0.5000 0.0000
Al: 0.0000 0.0000 0.5000
Al: 0.0000 0.5000 0.0000
Al: 0.5000 0.0000 0.0000
Al: 0.5000 0.5000 0.5000
Zn: 0.2500 0.2500 0.7500
Zn: 0.2500 0.7500 0.2500
Zn: 0.7500 0.2500 0.2500
Zn: 0.7500 0.7500 0.7500
Ni: 0.2500 0.2500 0.2500
Ni: 0.2500 0.7500 0.7500
Ni: 0.7500 0.2500 0.7500
Ni: 0.7500 0.7500 0.2500

Output
Uncorrected energy in eV per atom: -4.5328
Energy relative to the elements in kcal/mol of atoms: -8.07
Mass density in g/cm3: 6.837

***

8.
Entry from the Alexandria database: a relaxed CeAlZnNi crystal (GGA-PBE).

a b c (Å): 4.1289 4.1289 15.7215
angles (deg): 90.00 90.00 120.00
Sites, in units of the cell vectors:
Ce: 0.0000 0.0000 0.0000
Ce: 0.3333 0.6667 0.6667
Ce: 0.6667 0.3333 0.3333
Al: 0.0000 0.0000 0.2044
Al: 0.3333 0.6667 0.8711
Al: 0.6667 0.3333 0.5377
Zn: 0.0000 0.0000 0.7943
Zn: 0.3333 0.6667 0.4610
Zn: 0.6667 0.3333 0.1276
Ni: 0.0000 0.0000 0.5068
Ni: 0.3333 0.6667 0.1735
Ni: 0.6667 0.3333 0.8401

Output
Uncorrected energy in eV per atom: -4.4837
Energy relative to the elements in kcal/mol of atoms: -6.94
Mass density in g/cm3: 6.250

***

9.
Entry from the Alexandria database: a relaxed Ce2AlZnNi6 crystal (GGA-PBE).

a b c (Å): 4.9475 6.2315 6.2320
angles (deg): 82.00 66.62 66.68
Sites, in units of the cell vectors:
Ce: 0.2448 0.2068 0.3034
Ce: 0.7552 0.7932 0.6966
Al: 0.0000 0.0000 0.0000
Zn: 0.5000 0.5000 0.5000
Ni: 0.2502 0.5704 0.9298
Ni: 0.2519 0.2466 0.7540
Ni: 0.2534 0.7538 0.2457
Ni: 0.7466 0.2462 0.7543
Ni: 0.7481 0.7534 0.2460
Ni: 0.7498 0.4296 0.0702

Output
Uncorrected energy in eV per atom: -5.4688
Energy relative to the elements in kcal/mol of atoms: -7.19
Mass density in g/cm3: 7.433

***

10.
Entry from the Alexandria database: a relaxed CeAlZnNi3 crystal (GGA-PBE).

a b c (Å): 6.8737 6.8737 5.6454
angles (deg): 90.00 90.00 135.48
Sites, in units of the cell vectors:
Ce: 0.1678 0.8322 0.7500
Ce: 0.8322 0.1678 0.2500
Al: 0.3986 0.6014 0.7500
Al: 0.6014 0.3986 0.2500
Zn: 0.1438 0.8562 0.2500
Zn: 0.8562 0.1438 0.7500
Ni: 0.2386 0.2386 0.0000
Ni: 0.2386 0.2386 0.5000
Ni: 0.3532 0.6468 0.2500
Ni: 0.6468 0.3532 0.7500
Ni: 0.7614 0.7614 0.0000
Ni: 0.7614 0.7614 0.5000

Output
Uncorrected energy in eV per atom: -4.9467
Energy relative to the elements in kcal/mol of atoms: -5.33
Mass density in g/cm3: 7.256

***

11.
Entry from the Alexandria database: a relaxed Ce3NpAl8 crystal (GGA-PBE).

a b c (Å): 5.6742 5.6742 8.7727
angles (deg): 90.00 90.00 120.00
Sites, in units of the cell vectors:
Ce: 0.0000 0.0000 0.0000
Ce: 0.0000 0.0000 0.3361
Ce: 0.3333 0.6667 0.8173
Np: 0.3333 0.6667 0.5057
Al: 0.0136 0.5068 0.1679
Al: 0.3205 0.1602 0.6627
Al: 0.4932 0.5068 0.1679
Al: 0.4932 0.9864 0.1679
Al: 0.6667 0.3333 0.4175
Al: 0.6667 0.3333 0.9153
Al: 0.8398 0.1602 0.6627
Al: 0.8398 0.6795 0.6627

Output
Uncorrected energy in eV per atom: -5.4366
Energy relative to the elements in kcal/mol of atoms: -8.76
Mass density in g/cm3: 5.928

***

12.
Entry from the Alexandria database: a relaxed CeNpAl4 crystal (GGA-PBE).

a b c (Å): 5.5410 5.5410 5.5410
angles (deg): 60.00 60.00 60.00
Sites, in units of the cell vectors:
Ce: 0.0000 0.0000 0.0000
Np: 0.2500 0.2500 0.2500
Al: 0.1265 0.6245 0.6245
Al: 0.6245 0.1265 0.6245
Al: 0.6245 0.6245 0.1265
Al: 0.6245 0.6245 0.6245

Output
Uncorrected energy in eV per atom: -5.9360
Energy relative to the elements in kcal/mol of atoms: -6.81
Mass density in g/cm3: 6.695

***

Number 2 is which compound?
CeAlSi2Ni2

***

Which value of uncorrected energy does entry 5 give?
-6.0439 eV per atom

***

What is the formula in the fifth record?
CeAlSi2Ni4